Compound: BaLaI3
Source: Alexandria
Functional: GGA-PBE
Structure: relaxed

```
BaLaI3
1.0
-0.9016 0.2290 6.1724
5.6832 -2.4122 0.9196
2.4190 5.7526 0.1399
Ba I La
1 3 1
Cartesian
3.6004 1.7847 3.6160
2.8416 -1.2061 0.4598
1.2095 2.8763 0.0700
-0.4508 0.1145 3.0862
0.0000 0.0000 0.0000
```

## Properties
SG   Pm-3m (221)
VASP energy   -3.356 eV per atom
Formation energy from raw total energies   -1.056 eV/atom


Compound: Cs2UPt3Se6
Source: Alexandria
Functional: GGA-PBE
Structure: relaxed

```
Cs2UPt3Se6
1.0
-3.0258 -9.7026 6.5236
0.5447 -1.4862 10.1019
-8.9673 -2.3082 2.7060
Cs Se Pt U
4 12 6 2
Cartesian
-3.7204 -5.0665 9.8051
-7.7279 -8.4305 9.5263
-2.8621 -3.3743 4.8329
-8.5863 -10.1228 14.4986
-8.0529 -6.9171 12.9329
-8.3443 -6.0306 6.7406
-3.1040 -7.4665 12.5908
-5.7025 -9.6477 12.4101
-0.3994 -2.8101 7.4076
-5.9736 -3.2282 3.0136
-1.6800 -0.8788 2.5117
-5.7459 -3.8494 6.9214
-3.3955 -6.5800 6.3985
-9.7684 -12.6182 16.8197
-11.0490 -10.6869 11.9239
-5.4748 -10.2689 16.3178
-5.5622 -7.2188 13.0122
-3.7504 -9.2023 10.9025
-7.5266 -4.7753 11.7645
-5.8861 -6.2782 6.3192
-3.9218 -8.7217 7.5669
-7.6979 -4.2947 8.4290
-3.5641 -9.7061 14.3014
-7.8843 -3.7910 5.0300
```

## Properties
SG   Fmmm (69)
VASP energy   -5.218 eV per atom
Formation energy from raw total energies   -0.882 eV/atom


Compound: CaGdIn4
Source: Alexandria
Functional: GGA-PBE
Structure: relaxed

```
CaGdIn4
1.0
6.0844 0.0000 0.0000
3.0422 5.2693 0.0000
3.0422 1.7564 4.9679
Ca Gd In
1 1 4
Cartesian
3.0422 1.7564 1.2420
0.0000 0.0000 0.0000
6.0844 1.7533 3.1061
4.5606 4.3927 3.1061
7.6083 4.3927 3.1061
6.0844 3.5129 0.6176
```

## Properties
SG   F-43m (216)
Formation enthalpy at 0 K   -0.3383 eV per atom
VASP energy   -4.844 eV per atom


Compound: SrLiCd
Source: Alexandria
Functional: GGA-PBE
Structure: relaxed

```
SrLiCd
1.0
5.0176 0.0000 0.0000
-2.5088 4.3454 0.0000
0.0000 0.0000 4.2349
Li Cd Sr
1 1 1
Cartesian
2.5088 1.4485 0.7024
0.0000 0.0000 0.7095
0.0000 2.8969 2.8231
```

## Properties
SG   P-6m2 (187)
Formation enthalpy at 0 K   -0.1971 eV per atom
VASP energy   -1.701 eV per atom
Excess energy over the best structure of this formula in the dataset   24 meV per atom


Compound: Zr4CdW
Source: Alexandria
Functional: GGA-PBE
Structure: relaxed

```
Zr4CdW
1.0
2.4487 -1.5766 4.8662
-3.0948 -0.3874 4.7364
-1.1434 -5.0864 2.2320
Zr W Cd
4 1 1
Cartesian
0.5783 -3.4306 6.8875
-2.2414 -2.8257 6.8215
-1.2488 -5.2159 5.5476
-0.6672 -2.6286 4.4123
0.0000 0.0000 0.0000
-1.3421 -5.2878 8.8759
```

## Properties
SG   F-43m (216)
Formation enthalpy at 0 K   0.5681 eV per atom
VASP energy   -7.442 eV per atom


Compound: NiAs2Ir
Source: Alexandria
Functional: GGA-PBE
Structure: relaxed

```
NiAs2Ir
1.0
-0.9486 4.4840 -8.2322
-1.5330 1.7426 -9.1317
-3.6749 3.4021 -7.9810
Ni As Ir
1 2 1
Cartesian
-4.6272 7.2369 -19.0491
-0.1597 0.2498 -0.6574
-1.4024 2.1934 -5.7735
-3.0454 4.7630 -12.5374
```

## Properties
SG   R3m (160)
Formation enthalpy at 0 K   0.0734 eV per atom
VASP energy   -5.912 eV per atom
Excess energy over the best structure of this formula in the dataset   298 meV per atom


Compound: Rb2HgBH
Source: Alexandria
Functional: GGA-PBE
Structure: relaxed

```
Rb2HgBH
1.0
-0.8489 3.6909 -5.0156
-1.4237 -5.0430 -3.4701
-3.2690 0.3599 0.8181
Rb B H Hg
2 1 1 1
Cartesian
-0.7118 -2.5215 -1.7350
-0.4244 1.8455 -2.5078
-1.6345 0.1800 0.4091
0.0000 0.0000 0.0000
-2.7707 -0.4961 -3.8338
```

## Properties
SG   P4/mmm (123)
VASP energy   -1.785 eV per atom


Compound: Pm8SmDy3
Source: Alexandria
Functional: GGA-PBE
Structure: relaxed

```
Pm8SmDy3
1.0
-4.7937 -2.6222 -7.0723
1.6848 -3.2485 7.7322
-3.5604 5.7302 5.2967
Dy Pm Sm
3 8 1
Cartesian
-4.1934 2.4062 0.9324
-5.5335 -0.8058 -0.2012
-2.0221 -1.4917 5.3139
-1.9630 -1.2415 -1.6112
-3.7561 1.5049 4.4994
-4.2488 2.1479 7.8743
-3.8091 -3.8045 0.5780
-5.1016 -1.7170 3.3251
-2.4500 -0.5768 1.7616
-6.8569 1.2646 2.5108
-5.0407 -1.4620 -3.5741
-7.2506 2.1772 -1.0315
```

## Properties
SG   P1 (1)
Formation enthalpy at 0 K   0.0495 eV per atom
VASP energy   -4.661 eV per atom


Compound: Y5In4Ga
Source: Alexandria
Functional: GGA-PBE
Structure: relaxed

```
Y5In4Ga
1.0
3.6624 0.0000 0.0000
0.0000 3.6624 0.0000
0.0000 0.0000 19.3771
In Y Ga
4 5 1
Cartesian
0.0000 0.0000 11.6881
0.0000 0.0000 15.6490
0.0000 0.0000 3.7281
0.0000 0.0000 7.6891
1.8312 1.8312 1.7498
1.8312 1.8312 17.6274
1.8312 1.8312 5.6970
1.8312 1.8312 13.6802
1.8312 1.8312 9.6886
0.0000 0.0000 0.0000
```

## Properties
SG   P4/mmm (123)
Formation enthalpy at 0 K   -0.5167 eV per atom
VASP energy   -5.147 eV per atom


Compound: Rb2DyScO4
Source: Alexandria
Functional: GGA-PBE
Structure: relaxed

```
Rb2DyScO4
1.0
7.1229 0.0101 -0.1171
0.0051 7.1229 -0.1172
-3.5861 -3.5886 5.1610
Rb O Sc Dy
4 8 2 2
Cartesian
3.5614 0.0051 -0.0586
1.7684 -1.7892 2.5219
3.5640 3.5665 -0.1171
-1.7930 -1.7943 2.5805
5.7047 1.7242 0.0899
3.4950 3.2232 2.6839
2.0921 1.8194 4.7062
-2.1628 1.8201 4.8367
0.0469 0.3212 2.2428
1.4498 1.7251 0.2205
3.4861 0.3552 2.6704
0.0558 3.1892 2.2563
1.7709 1.7722 2.4633
3.5368 -3.5785 5.0438
-3.5835 -0.0271 5.1024
-1.7905 1.7671 2.5219
```

## Properties
SG   Imma (74)
VASP energy   -6.612 eV per atom
Formation energy from raw total energies   -2.524 eV/atom


Compound: TaSiSeF2
Source: Alexandria
Functional: GGA-PBE
Structure: relaxed

```
TaSiSeF2
1.0
3.8222 0.0000 0.0000
0.0000 6.7426 0.0000
0.0000 0.0000 3.8222
Se Si Ta F
1 1 1 2
Cartesian
0.0000 3.3713 0.0000
0.0000 0.0000 0.0000
1.9111 3.3713 1.9111
0.0000 0.0000 1.9111
1.9111 0.0000 0.0000
```

## Properties
SG   P4/mmm (123)
VASP energy   -5.471 eV per atom
Formation energy from raw total energies   -0.570 eV/atom


Compound: La3Ce2ThTe6
Source: Alexandria
Functional: GGA-PBE
Structure: relaxed

```
La3Ce2ThTe6
1.0
-2.7509 -0.4946 -3.5417
-5.8615 -4.6425 5.2011
-1.5211 9.6779 2.7037
Ce Te La Th
2 6 3 1
Cartesian
-2.9137 1.5880 2.0413
-7.2199 2.9528 2.3217
-2.8467 2.4783 -1.0087
-7.2868 2.0625 5.3718
-8.6747 5.6689 3.0724
-4.3802 4.3110 2.8002
-1.4589 -1.1281 1.2907
-5.7534 0.2298 1.5629
-4.3062 -2.5686 0.8297
-4.2847 5.2831 -0.2836
-5.8489 -0.7423 4.6466
-1.3755 -0.2473 -1.7709
```

## Properties
SG   C2/m (12)
VASP energy   -5.828 eV per atom
Formation energy from raw total energies   -1.418 eV/atom


Compound: KAlN2F
Source: Alexandria
Functional: GGA-PBE
Structure: relaxed

```
KAlN2F
1.0
4.9627 0.0000 0.0000
0.0000 3.4362 0.0000
0.0000 0.0000 4.9627
Al N F K
1 2 1 1
Cartesian
0.0000 1.7181 0.0000
2.4814 0.0000 0.0000
0.0000 0.0000 2.4814
0.0000 0.0000 0.0000
2.4814 1.7181 2.4814
```

## Properties
SG   P4/mmm (123)
VASP energy   -3.737 eV per atom
Formation energy from raw total energies   0.935 eV/atom
Excess energy over the best structure of this formula in the dataset   1419 meV per atom


Compound: Y2ScRu
Source: Alexandria
Functional: GGA-PBE
Structure: relaxed

```
Y2ScRu
1.0
1.5259 -0.2992 4.8229
-2.5820 -2.8471 3.3024
2.0188 -4.3033 1.7564
Y Sc Ru
2 1 1
Cartesian
0.2407 -1.8624 2.4704
0.7220 -5.5872 7.4113
0.0000 0.0000 0.0000
0.4814 -3.7248 4.9409
```

## Properties
SG   Fm-3m (225)
Formation enthalpy at 0 K   -0.0158 eV per atom
VASP energy   -7.150 eV per atom
Excess energy over the best structure of this formula in the dataset   309 meV per atom